No. 1
Material: KBC
Method: DFT, PBE
State: optimized geometry

Structure (POSCAR):
```
KBC
1.0
-4.068 -3.749 2.165
1.647 -2.258 -0.816
4.937 0.154 9.544
K B C
4 4 4
Direct
0.103 0.250 0.154 K
0.397 0.750 0.654 K
0.897 0.750 0.846 K
0.603 0.250 0.346 K
0.936 0.250 0.546 B
0.564 0.750 0.046 B
0.064 0.750 0.454 B
0.436 0.250 0.954 B
0.632 0.250 0.076 C
0.868 0.750 0.576 C
0.368 0.750 0.924 C
0.132 0.250 0.424 C
```

Results
- ΔH_f (0 K): 0.36 eV/atom

No. 2
Material: CsLi2SeCl
Method: DFT, PBE
State: optimized geometry

Structure (POSCAR):
```
CsLi2SeCl
1.0
-3.624 -0.253 -2.397
-2.102 -1.787 3.367
0.945 7.458 1.734
Cs Li Se Cl
1 2 1 1
Direct
0.511 0.511 0.021 Cs
0.746 0.246 0.491 Li
0.246 0.746 0.491 Li
0.157 0.157 0.314 Se
0.841 0.841 0.682 Cl
```

No. 3
Material: Sm3InCo
Method: DFT, PBE
State: optimized geometry

Structure (POSCAR):
```
Sm3InCo
1.0
-4.274 -3.185 1.327
-1.025 -5.065 -4.089
3.386 -7.895 3.328
Sm In Co
6 2 2
Direct
0.891 0.995 0.222 Sm
0.109 0.005 0.778 Sm
0.624 0.669 0.084 Sm
0.376 0.331 0.916 Sm
0.846 0.653 0.654 Sm
0.154 0.347 0.346 Sm
0.397 0.761 0.446 In
0.603 0.239 0.554 In
0.133 0.674 0.061 Co
0.867 0.326 0.939 Co
```

Results
- ΔH_f (0 K): -0.21 eV/atom
- Polymorph energy (0 for the lowest one): 0 meV per atom

No. 4
Material: ScTeAu2
Method: DFT, PBE
State: optimized geometry

Structure (POSCAR):
```
ScTeAu2
1.0
3.826 0.000 0.000
0.000 3.823 0.000
0.000 0.000 5.841
Au Sc Te
2 1 1
Direct
0.000 0.000 0.015 Au
0.000 0.000 0.485 Au
0.500 0.500 0.250 Sc
0.500 0.500 0.750 Te
```

No. 5
Material: CaAcLu
Method: DFT, PBE
State: optimized geometry

Structure (POSCAR):
```
CaAcLu
1.0
3.778 0.000 0.000
-1.889 3.272 0.000
0.000 0.000 9.228
Ac Lu Ca
1 1 1
Direct
0.333 0.667 0.649 Ac
0.667 0.333 0.337 Lu
0.000 0.000 0.014 Ca
```

Results
- ΔH_f (0 K): 0.10 eV/atom
- Polymorph energy (0 for the lowest one): 3 meV per atom

No. 6
Material: BaHf2Sn2
Method: DFT, PBE
State: optimized geometry

Structure (POSCAR):
```
BaHf2Sn2
1.0
5.484 0.000 0.000
0.000 5.484 0.000
2.742 2.742 5.219
Hf Ba Sn
2 1 2
Direct
0.343 0.343 0.314 Hf
0.657 0.657 0.686 Hf
0.000 0.000 0.000 Ba
0.750 0.250 0.500 Sn
0.250 0.750 0.500 Sn
```

Results
- ΔH_f (0 K): 0.05 eV/atom
- Polymorph energy (0 for the lowest one): 338 meV per atom

No. 7
Material: LiSe2SN
Method: DFT, PBE
State: optimized geometry

Structure (POSCAR):
```
LiSe2SN
1.0
5.446 0.000 0.000
0.000 5.446 0.000
0.000 0.000 3.194
S Li Se N
1 1 2 1
Direct
0.000 0.000 0.000 S
0.500 0.500 0.500 Li
0.000 0.500 0.000 Se
0.500 0.000 0.000 Se
0.000 0.000 0.500 N
```

Results
- Polymorph energy (0 for the lowest one): 0 meV per atom

No. 8
Material: BiS4F
Method: DFT, PBE
State: optimized geometry

Structure (POSCAR):
```
BiS4F
1.0
-2.235 3.764 -5.312
-3.203 3.123 1.351
6.432 8.988 2.558
Bi S F
2 8 2
Direct
0.750 0.893 0.213 Bi
0.250 0.107 0.787 Bi
0.352 0.570 0.436 S
0.046 0.786 0.058 S
0.852 0.006 0.564 S
0.546 0.844 0.942 S
0.648 0.430 0.564 S
0.148 0.994 0.436 S
0.954 0.214 0.942 S
0.454 0.156 0.058 S
0.750 0.389 0.221 F
0.250 0.611 0.779 F
```

Number 1: E -15.919 eV per formula unit, volume 15.49 A^3/atom. Number 2: E -17.437 eV per formula unit, volume 26.80 A^3/atom. Number 3: E -25.062 eV per formula unit, volume 27.67 A^3/atom. Number 4: E -17.899 eV per formula unit, volume 21.36 A^3/atom. Number 5: E -10.344 eV per formula unit, volume 38.03 A^3/atom. Number 6: E -29.578 eV per formula unit, volume 31.39 A^3/atom. Number 7: E -18.683 eV per formula unit, volume 18.95 A^3/atom. Number 8: E -24.697 eV per formula unit, volume 27.70 A^3/atom.